1.
# ZnReSCl2 meta-GGA SCAN single point on PBEsol structure
# calculated total energy = -106.939 eV per formula unit
data_ZnReSCl2
_chemical_formula_sum 'Zn1 Re1 S1 Cl2'
_cell_length_a 4.499
_cell_length_b 4.499
_cell_length_c 5.116
_cell_angle_alpha 90.00
_cell_angle_beta 90.00
_cell_angle_gamma 90.00
_symmetry_space_group_name_H-M 'P 4/m m m'
_symmetry_Int_Tables_number 123
_symmetry_space_group_name_Hall '-P 4 2'
loop_
_atom_site_label
_atom_site_type_symbol
_atom_site_fract_x
_atom_site_fract_y
_atom_site_fract_z
Zn1 Zn 0.000 0.000 0.000
Re1 Re 0.500 0.500 0.500
S1 S 0.000 0.000 0.500
Cl1 Cl 0.000 0.500 0.000

2.
# ZnReS2Cl meta-GGA SCAN single point on PBEsol structure
# calculated total energy = -106.780 eV per formula unit
data_ZnReS2Cl
_chemical_formula_sum 'Zn1 Re1 S2 Cl1'
_cell_length_a 4.658
_cell_length_b 4.658
_cell_length_c 4.460
_cell_angle_alpha 90.00
_cell_angle_beta 90.00
_cell_angle_gamma 90.00
_symmetry_space_group_name_H-M 'P 4/m m m'
_symmetry_Int_Tables_number 123
_symmetry_space_group_name_Hall '-P 4 2'
loop_
_atom_site_label
_atom_site_type_symbol
_atom_site_fract_x
_atom_site_fract_y
_atom_site_fract_z
Zn1 Zn 0.000 0.000 0.000
Re1 Re 0.500 0.500 0.500
S1 S 0.000 0.500 0.000
Cl1 Cl 0.000 0.000 0.500

3.
# Re2SbCl meta-GGA SCAN single point on PBEsol structure
# calculated total energy = -182.891 eV per formula unit
data_Re2SbCl
_chemical_formula_sum 'Re4 Sb2 Cl2'
_cell_length_a 4.959
_cell_length_b 4.959
_cell_length_c 5.401
_cell_angle_alpha 90.00
_cell_angle_beta 90.00
_cell_angle_gamma 90.00
_symmetry_space_group_name_H-M 'I -4 m 2'
_symmetry_Int_Tables_number 119
_symmetry_space_group_name_Hall 'I -4 -2'
loop_
_atom_site_label
_atom_site_type_symbol
_atom_site_fract_x
_atom_site_fract_y
_atom_site_fract_z
Re1 Re 0.000 0.000 0.000
Re2 Re 0.000 0.500 0.250
Sb1 Sb 0.000 0.000 0.500
Cl1 Cl 0.000 0.500 0.750

4.
# Re2SbSeCl meta-GGA SCAN single point on PBEsol structure
# calculated total energy = -199.059 eV per formula unit
data_Re2SbSeCl
_chemical_formula_sum 'Re2 Sb1 Se1 Cl1'
_cell_length_a 4.614
_cell_length_b 4.614
_cell_length_c 4.961
_cell_angle_alpha 90.00
_cell_angle_beta 90.00
_cell_angle_gamma 90.00
_symmetry_space_group_name_H-M 'P 4/m m m'
_symmetry_Int_Tables_number 123
_symmetry_space_group_name_Hall '-P 4 2'
loop_
_atom_site_label
_atom_site_type_symbol
_atom_site_fract_x
_atom_site_fract_y
_atom_site_fract_z
Re1 Re 0.000 0.500 0.000
Sb1 Sb 0.000 0.000 0.500
Se1 Se 0.500 0.500 0.000
Cl1 Cl 0.500 0.500 0.500

5.
# Sc2ReCl meta-GGA SCAN single point on PBEsol structure
# distance to the lowest polymorph of the same formula = 79.25 kJ per mole of atoms
data_Sc2ReCl
_chemical_formula_sum 'Sc8 Re4 Cl4'
_cell_length_a 6.541
_cell_length_b 6.541
_cell_length_c 6.541
_cell_angle_alpha 90.00
_cell_angle_beta 90.00
_cell_angle_gamma 90.00
_symmetry_space_group_name_H-M 'F m -3 m'
_symmetry_Int_Tables_number 225
_symmetry_space_group_name_Hall '-F 4 2 3'
loop_
_atom_site_label
_atom_site_type_symbol
_atom_site_fract_x
_atom_site_fract_y
_atom_site_fract_z
Sc1 Sc 0.250 0.250 0.250
Re1 Re 0.000 0.000 0.000
Cl1 Cl 0.000 0.000 0.500

6.
# Sc2ReCl meta-GGA SCAN single point on PBEsol structure
# distance to the lowest polymorph of the same formula = 70.17 kJ per mole of atoms
data_Sc2ReCl
_chemical_formula_sum 'Sc6 Re3 Cl3'
_cell_length_a 3.0697
_cell_length_b 3.0697
_cell_length_c 29.1184
_cell_angle_alpha 90.00
_cell_angle_beta 90.00
_cell_angle_gamma 120.00
_symmetry_space_group_name_H-M 'R 3 m'
_symmetry_Int_Tables_number 160
_symmetry_space_group_name_Hall 'R 3 -2"'
loop_
_atom_site_label
_atom_site_type_symbol
_atom_site_fract_x
_atom_site_fract_y
_atom_site_fract_z
Sc1 Sc 0.0000 0.0000 0.0000
Sc2 Sc 0.0000 0.0000 0.2368
Re1 Re 0.0000 0.0000 0.5006
Cl1 Cl 0.0000 0.0000 0.7272

7.
# Sc2ReCl meta-GGA SCAN single point on PBEsol structure
# distance to the lowest polymorph of the same formula = 74.88 kJ per mole of atoms
data_Sc2ReCl
_chemical_formula_sum 'Sc4 Re2 Cl2'
_cell_length_a 3.339
_cell_length_b 4.877
_cell_length_c 9.735
_cell_angle_alpha 90.00
_cell_angle_beta 90.00
_cell_angle_gamma 90.00
_symmetry_space_group_name_H-M 'C m m 2'
_symmetry_Int_Tables_number 35
_symmetry_space_group_name_Hall 'C 2 -2'
loop_
_atom_site_label
_atom_site_type_symbol
_atom_site_fract_x
_atom_site_fract_y
_atom_site_fract_z
Sc1 Sc 0.000 0.000 0.000
Sc2 Sc 0.000 0.500 0.276
Re1 Re 0.000 0.500 0.795
Cl1 Cl 0.000 0.000 0.461

8.
# Sc2ReCl meta-GGA SCAN single point on PBEsol structure
# distance to the lowest polymorph of the same formula = 26.43 kJ per mole of atoms
data_Sc2ReCl
_chemical_formula_sum 'Sc4 Re2 Cl2'
_cell_length_a 3.117
_cell_length_b 3.395
_cell_length_c 14.570
_cell_angle_alpha 90.00
_cell_angle_beta 90.00
_cell_angle_gamma 90.00
_symmetry_space_group_name_H-M 'I m m 2'
_symmetry_Int_Tables_number 44
_symmetry_space_group_name_Hall 'I 2 -2'
loop_
_atom_site_label
_atom_site_type_symbol
_atom_site_fract_x
_atom_site_fract_y
_atom_site_fract_z
Sc1 Sc 0.000 0.000 0.000
Sc2 Sc 0.000 0.500 0.275
Re1 Re 0.000 0.000 0.406
Cl1 Cl 0.000 0.500 0.659

9.
# Sc2ReCl meta-GGA SCAN single point on PBEsol structure
# distance to the lowest polymorph of the same formula = 47.51 kJ per mole of atoms
data_Sc2ReCl
_chemical_formula_sum 'Sc2 Re1 Cl1'
_cell_length_a 3.754
_cell_length_b 3.754
_cell_length_c 5.358
_cell_angle_alpha 90.00
_cell_angle_beta 90.00
_cell_angle_gamma 90.00
_symmetry_space_group_name_H-M 'P 4 m m'
_symmetry_Int_Tables_number 99
_symmetry_space_group_name_Hall 'P 4 -2'
loop_
_atom_site_label
_atom_site_type_symbol
_atom_site_fract_x
_atom_site_fract_y
_atom_site_fract_z
Sc1 Sc 0.000 0.000 0.000
Sc2 Sc 0.500 0.500 0.411
Re1 Re 0.500 0.500 0.950
Cl1 Cl 0.000 0.000 0.485

10.
# Sc2ReCl meta-GGA SCAN single point on PBEsol structure
# distance to the lowest polymorph of the same formula = 0.00 kJ per mole of atoms
data_Sc2ReCl
_chemical_formula_sum 'Sc4 Re2 Cl2'
_cell_length_a 4.813
_cell_length_b 4.295
_cell_length_c 7.578
_cell_angle_alpha 90.00
_cell_angle_beta 102.77
_cell_angle_gamma 90.00
_symmetry_space_group_name_H-M 'C 1 2/m 1'
_symmetry_Int_Tables_number 12
_symmetry_space_group_name_Hall '-C 2y'
loop_
_atom_site_label
_atom_site_type_symbol
_atom_site_fract_x
_atom_site_fract_y
_atom_site_fract_z
Sc1 Sc 0.077 0.000 0.210
Re1 Re 0.000 0.500 0.000
Cl1 Cl 0.000 0.500 0.500

11.
# Sc4ReCl meta-GGA SCAN single point on PBEsol structure
# calculated total energy = -131.407 eV per formula unit
data_Sc4ReCl
_chemical_formula_sum 'Sc16 Re4 Cl4'
_cell_length_a 7.852
_cell_length_b 7.852
_cell_length_c 7.852
_cell_angle_alpha 90.00
_cell_angle_beta 90.00
_cell_angle_gamma 90.00
_symmetry_space_group_name_H-M 'F -4 3 m'
_symmetry_Int_Tables_number 216
_symmetry_space_group_name_Hall 'F -4 2 3'
loop_
_atom_site_label
_atom_site_type_symbol
_atom_site_fract_x
_atom_site_fract_y
_atom_site_fract_z
Sc1 Sc 0.121 0.121 0.121
Re1 Re 0.250 0.250 0.750
Cl1 Cl 0.000 0.000 0.500

12.
# ScReCl2 meta-GGA SCAN single point on PBEsol structure
# distance to the lowest polymorph of the same formula = 66.58 kJ per mole of atoms
data_ScReCl2
_chemical_formula_sum 'Sc4 Re4 Cl8'
_cell_length_a 6.232
_cell_length_b 6.232
_cell_length_c 6.232
_cell_angle_alpha 90.00
_cell_angle_beta 90.00
_cell_angle_gamma 90.00
_symmetry_space_group_name_H-M 'F m -3 m'
_symmetry_Int_Tables_number 225
_symmetry_space_group_name_Hall '-F 4 2 3'
loop_
_atom_site_label
_atom_site_type_symbol
_atom_site_fract_x
_atom_site_fract_y
_atom_site_fract_z
Sc1 Sc 0.000 0.000 0.000
Re1 Re 0.000 0.000 0.500
Cl1 Cl 0.250 0.250 0.250

13.
# ScRe2Cl meta-GGA SCAN single point on PBEsol structure
# calculated total energy = -163.638 eV per formula unit
data_ScRe2Cl
_chemical_formula_sum 'Sc2 Re4 Cl2'
_cell_length_a 5.154
_cell_length_b 10.389
_cell_length_c 3.040
_cell_angle_alpha 90.00
_cell_angle_beta 126.03
_cell_angle_gamma 90.00
_symmetry_space_group_name_H-M 'C 1 2/m 1'
_symmetry_Int_Tables_number 12
_symmetry_space_group_name_Hall '-C 2y'
loop_
_atom_site_label
_atom_site_type_symbol
_atom_site_fract_x
_atom_site_fract_y
_atom_site_fract_z
Sc1 Sc 0.000 0.000 0.000
Re1 Re 0.250 0.250 0.000
Cl1 Cl 0.000 0.500 0.000